[1]
{
  "formula": "Sm2ErPuO8",
  "functional": "PBE-GGA",
  "state": "optimized geometry",
  "lattice": [[-3.1983, 2.3028, 0.2598], [-0.5906, -2.3328, 4.9388], [4.1580, 5.5509, 2.8590]],
  "species": ["Er", "Sm", "Sm", "Pu", "O", "O", "O", "O", "O", "O", "O", "O"],
  "fractional_positions": [[0.0000, 0.0000, 0.5000], [0.5002, 0.5129, 0.2607], [0.4998, 0.4871, 0.7393], [0.0000, 0.0000, 0.0000], [0.4882, 0.2457, 0.4881], [0.0485, 0.7819, 0.7836], [0.9622, 0.2443, 0.7663], [0.9515, 0.2181, 0.2164], [0.5671, 0.7809, 0.0039], [0.4329, 0.2191, 0.9961], [0.5118, 0.7543, 0.5119], [0.0378, 0.7557, 0.2337]],
  "dos_at_fermi_per_ev_fu": 1.6,
  "e_form_raw_ev_per_fu": -36.332,
  "total_magnetization_mub_per_cell": 0.992
}

=====

[2]
{
  "formula": "SmEr2PuO8",
  "functional": "PBE-GGA",
  "state": "optimized geometry",
  "lattice": [[-2.2539, 2.7462, -3.6357], [2.8432, -2.3564, -3.4968], [-4.9261, -4.9391, -0.6768]],
  "species": ["O", "O", "O", "O", "O", "O", "O", "O", "Er", "Er", "Pu", "Sm"],
  "fractional_positions": [[0.1869, 0.8130, 0.7824], [0.8131, 0.1870, 0.7825], [0.8131, 0.1870, 0.2176], [0.1869, 0.8130, 0.2175], [0.7194, 0.7199, 0.0000], [0.2806, 0.2801, 0.0000], [0.3145, 0.3145, 0.5000], [0.6855, 0.6855, 0.5000], [0.5000, 0.5000, 0.2584], [0.5000, 0.5000, 0.7416], [0.0000, 0.0000, 0.0000], [0.0000, 0.0000, 0.5000]],
  "e_form_raw_ev_per_fu": -36.970,
  "total_magnetization_mub_per_cell": 1.015
}

=====

[3]
{
  "formula": "SmErPuO6",
  "functional": "PBE-GGA",
  "state": "optimized geometry",
  "lattice": [[-4.6117, -2.7897, 1.9226], [2.1072, -1.1883, -5.1860], [5.7089, -6.7696, 3.8709]],
  "species": ["O", "O", "O", "O", "O", "O", "O", "O", "O", "O", "O", "O", "Sm", "Sm", "Pu", "Pu", "Er", "Er"],
  "fractional_positions": [[0.6391, 0.9772, 0.8640], [0.6619, 0.0228, 0.3640], [0.3609, 0.0228, 0.1360], [0.9772, 0.6391, 0.3640], [0.6619, 0.6391, 0.1360], [0.9772, 0.3381, 0.1360], [0.0228, 0.6619, 0.8640], [0.0228, 0.3609, 0.6360], [0.3381, 0.9772, 0.6360], [0.3381, 0.3609, 0.8640], [0.3609, 0.3381, 0.3640], [0.6391, 0.6619, 0.6360], [0.0000, 0.0000, 0.5000], [0.0000, 0.0000, 0.0000], [0.6667, 0.3333, 0.2500], [0.3333, 0.6667, 0.7500], [0.3333, 0.6667, 0.2500], [0.6667, 0.3333, 0.7500]],
  "dos_at_fermi_per_ev_fu": 7.6,
  "e_form_raw_ev_per_fu": -27.561,
  "total_magnetization_mub_per_cell": 4.000
}

=====

[4]
{
  "formula": "Sr2ErPuO6",
  "functional": "PBE-GGA",
  "state": "optimized geometry",
  "lattice": [[5.9503, 0.0000, -0.0200], [0.0000, 6.0687, 0.0000], [0.0234, 0.0000, 8.4784]],
  "species": ["Er", "Er", "O", "O", "O", "O", "O", "O", "O", "O", "O", "O", "O", "O", "Sr", "Sr", "Sr", "Sr", "Pu", "Pu"],
  "fractional_positions": [[0.0000, 0.5000, 0.5000], [0.5000, 0.0000, 0.0000], [0.7880, 0.7997, 0.5482], [0.2120, 0.2003, 0.4518], [0.6995, 0.2878, 0.5519], [0.8005, 0.7878, 0.9481], [0.9061, 0.5338, 0.2440], [0.7120, 0.2997, 0.9518], [0.4061, 0.9662, 0.7440], [0.3005, 0.7122, 0.4481], [0.2880, 0.7003, 0.0482], [0.5939, 0.0338, 0.2560], [0.1995, 0.2122, 0.0519], [0.0939, 0.4662, 0.7560], [0.5104, 0.5422, 0.7505], [0.0104, 0.9578, 0.2505], [0.9896, 0.0422, 0.7495], [0.4896, 0.4578, 0.2495], [0.0000, 0.5000, 0.0000], [0.5000, 0.0000, 0.5000]],
  "dos_at_fermi_per_ev_fu": 10.1,
  "e_form_raw_ev_per_fu": -31.071,
  "total_magnetization_mub_per_cell": 6.000
}

=====

[5]
{
  "formula": "SrErPuO6",
  "functional": "PBE-GGA",
  "state": "optimized geometry",
  "lattice": [[-1.3301, -4.6396, -3.1468], [4.5813, 3.2063, -1.3889], [5.9133, -5.8168, 6.0768]],
  "species": ["O", "O", "O", "O", "O", "O", "O", "O", "O", "O", "O", "O", "Pu", "Pu", "Er", "Er", "Sr", "Sr"],
  "fractional_positions": [[0.3521, 0.9703, 0.6438], [0.9703, 0.6182, 0.3562], [0.6182, 0.9703, 0.8562], [0.0297, 0.6479, 0.8562], [0.3818, 0.3521, 0.3562], [0.6182, 0.6479, 0.6438], [0.3521, 0.3818, 0.8562], [0.9703, 0.3521, 0.1438], [0.3818, 0.0297, 0.1438], [0.6479, 0.0297, 0.3562], [0.6479, 0.6182, 0.1438], [0.0297, 0.3818, 0.6438], [0.6667, 0.3333, 0.2500], [0.3333, 0.6667, 0.7500], [0.3333, 0.6667, 0.2500], [0.6667, 0.3333, 0.7500], [0.0000, 0.0000, 0.0000], [0.0000, 0.0000, 0.5000]],
  "e_form_raw_ev_per_fu": -25.987,
  "total_magnetization_mub_per_cell": 2.000
}

=====

[6]
{
  "formula": "SrErPu2O8",
  "functional": "PBE-GGA",
  "state": "optimized geometry",
  "lattice": [[5.4151, 0.0000, 0.0000], [0.0000, 5.4151, 0.0000], [-2.7076, -2.7076, 5.3065]],
  "species": ["O", "O", "O", "O", "O", "O", "O", "O", "Er", "Pu", "Pu", "Sr"],
  "fractional_positions": [[0.1527, 0.1189, 0.7579], [0.6052, 0.6390, 0.7579], [0.3611, 0.3949, 0.2423], [0.6051, 0.1188, 0.7577], [0.3610, 0.8473, 0.2421], [0.8812, 0.8474, 0.2423], [0.8811, 0.3948, 0.2421], [0.1526, 0.6389, 0.7577], [0.0000, 0.0000, 0.0000], [0.2500, 0.7500, 0.5000], [0.5000, 0.5000, 0.0000], [0.7500, 0.2500, 0.5000]],
  "dos_at_fermi_per_ev_fu": 11.3,
  "e_form_raw_ev_per_fu": -34.397,
  "total_magnetization_mub_per_cell": 5.000
}

=====

[7]
{
  "formula": "ErPuTeO2",
  "functional": "PBE-GGA",
  "state": "optimized geometry",
  "lattice": [[3.9198, 0.0000, 0.0000], [0.0000, 3.9198, 0.0000], [-1.9599, -1.9599, 6.3078]],
  "species": ["Er", "O", "O", "Te", "Pu"],
  "fractional_positions": [[0.1632, 0.1632, 0.3265], [0.7458, 0.2458, 0.4916], [0.2458, 0.7458, 0.4916], [0.4991, 0.4991, 0.9981], [0.8461, 0.8461, 0.6921]],
  "dos_at_fermi_per_ev_fu": 9.7,
  "e_form_raw_ev_per_fu": -13.427,
  "total_magnetization_mub_per_cell": 5.000
}

=====

[8]
{
  "formula": "ErPuTl2O8",
  "functional": "PBE-GGA",
  "state": "optimized geometry",
  "lattice": [[5.2220, -0.1314, -0.0030], [-0.1245, 5.2205, -0.0060], [0.0041, 0.0078, 6.7716]],
  "species": ["Tl", "Tl", "O", "O", "O", "O", "O", "O", "O", "O", "Er", "Pu"],
  "fractional_positions": [[0.5000, 0.5000, 0.7469], [0.5000, 0.5000, 0.2531], [0.8290, 0.1716, 0.2203], [0.6976, 0.6983, 0.5000], [0.1710, 0.8283, 0.2203], [0.8290, 0.1717, 0.7797], [0.7040, 0.7047, 0.0000], [0.3024, 0.3017, 0.5000], [0.2960, 0.2953, 0.0000], [0.1710, 0.8284, 0.7797], [0.0000, 0.0000, 0.5000], [0.0000, 0.0000, 0.0000]],
  "dos_at_fermi_per_ev_fu": 0.3,
  "e_form_raw_ev_per_fu": -22.151,
  "total_magnetization_mub_per_cell": 0.984
}

=====

[9]
{
  "formula": "ErTm2PuO8",
  "functional": "PBE-GGA",
  "state": "optimized geometry",
  "lattice": [[-4.1476, 2.5877, 1.1931], [-2.2845, -1.9598, -4.0357], [-2.2006, -5.2846, 3.8118]],
  "species": ["O", "O", "O", "O", "O", "O", "O", "O", "Er", "Tm", "Tm", "Pu"],
  "fractional_positions": [[0.1858, 0.8143, 0.2240], [0.8142, 0.1857, 0.7760], [0.8142, 0.1857, 0.2240], [0.1858, 0.8143, 0.7760], [0.6920, 0.6918, 0.5000], [0.3080, 0.3082, 0.5000], [0.7165, 0.7167, 0.0000], [0.2835, 0.2833, 0.0000], [0.0000, 0.0000, 0.5000], [0.5000, 0.5000, 0.2608], [0.5000, 0.5000, 0.7392], [0.0000, 0.0000, 0.0000]],
  "e_form_raw_ev_per_fu": -37.553,
  "total_magnetization_mub_per_cell": 0.985
}

=====

[10]
{
  "formula": "ErPuUO6",
  "functional": "PBE-GGA",
  "state": "optimized geometry",
  "lattice": [[-0.5664, -2.5396, -5.1426], [-3.1156, -1.8450, 4.4839], [-6.8442, 6.0858, -2.2516]],
  "species": ["O", "O", "O", "O", "O", "O", "O", "O", "O", "O", "O", "O", "Er", "Er", "Pu", "Pu", "U", "U"],
  "fractional_positions": [[0.6489, 0.6660, 0.6334], [0.6660, 0.0171, 0.3666], [0.6660, 0.6489, 0.1334], [0.3340, 0.3511, 0.8666], [0.9829, 0.6489, 0.3666], [0.3340, 0.9829, 0.6334], [0.0171, 0.6660, 0.8666], [0.0171, 0.3511, 0.6334], [0.9829, 0.3340, 0.1334], [0.3511, 0.3340, 0.3666], [0.3511, 0.0171, 0.1334], [0.6489, 0.9829, 0.8666], [0.6667, 0.3333, 0.7500], [0.3333, 0.6667, 0.2500], [0.0000, 0.0000, 0.0000], [0.0000, 0.0000, 0.5000], [0.3333, 0.6667, 0.7500], [0.6667, 0.3333, 0.2500]],
  "dos_at_fermi_per_ev_fu": 8.6,
  "e_form_raw_ev_per_fu": -28.887,
  "total_magnetization_mub_per_cell": 10.001
}

=====

Copy entry 9 word for word.
{
  "formula": "ErTm2PuO8",
  "functional": "PBE-GGA",
  "state": "optimized geometry",
  "lattice": [[-4.1476, 2.5877, 1.1931], [-2.2845, -1.9598, -4.0357], [-2.2006, -5.2846, 3.8118]],
  "species": ["O", "O", "O", "O", "O", "O", "O", "O", "Er", "Tm", "Tm", "Pu"],
  "fractional_positions": [[0.1858, 0.8143, 0.2240], [0.8142, 0.1857, 0.7760], [0.8142, 0.1857, 0.2240], [0.1858, 0.8143, 0.7760], [0.6920, 0.6918, 0.5000], [0.3080, 0.3082, 0.5000], [0.7165, 0.7167, 0.0000], [0.2835, 0.2833, 0.0000], [0.0000, 0.0000, 0.5000], [0.5000, 0.5000, 0.2608], [0.5000, 0.5000, 0.7392], [0.0000, 0.0000, 0.0000]],
  "e_form_raw_ev_per_fu": -37.553,
  "total_magnetization_mub_per_cell": 0.985
}

=====

Q: Which formula does entry 6 have?
A: SrErPu2O8

=====

Q: Number 7 is which compound?
A: ErPuTeO2